# 1
Material: EuDyInCu
Method: DFT, GGA-PBE
State: optimized geometry

abc: 5.2657 5.2657 5.2657
angles: 60.00 60.00 60.00
With the nearest neighbours (Å) after each atom.
Sites, in units of the cell vectors:
Eu 0.7500 0.7500 0.7500  4 In 3.22, 4 Cu 3.22
Cu 0.5000 0.5000 0.5000  4 Dy 3.22, 4 Eu 3.22
In 0.0000 0.0000 0.0000  4 Dy 3.22, 4 Eu 3.22
Dy 0.2500 0.2500 0.2500  4 In 3.22, 4 Cu 3.22

Calculated values
energy of formation from the pure elements = -92 kJ/mol of formula units

=====

# 2
Material: EuDyCuIr
Method: DFT, GGA-PBE
State: optimized geometry

abc: 4.9334 4.9334 4.9334
angles: 60.00 60.00 60.00
With the nearest neighbours (Å) after each atom.
Sites, in units of the cell vectors:
Cu 0.2500 0.2500 0.2500  4 Eu 3.02, 4 Dy 3.02
Eu 0.0000 0.0000 0.0000  4 Ir 3.02, 4 Cu 3.02
Dy 0.5000 0.5000 0.5000  4 Cu 3.02, 4 Ir 3.02
Ir 0.7500 0.7500 0.7500  4 Eu 3.02, 4 Dy 3.02

Calculated values
energy of formation from the pure elements = -151 kJ/mol of formula units